[1]
Density functional theory data (PBE) for an optimized crystal structure of HfPa5As6.

Results
- energy (eV/atom) = -8.1493
- SG = No. 12
- crystal system = monoclinic

Cell lengths 7.025, 7.025, 7.012 Å; angles 99.65, 99.65, 120.06 degrees
Element x y z (fractional)
Hf 0.000 0.000 0.000
Pa 0.171 0.829 0.500
Pa 0.334 0.666 0.000
Pa 0.500 0.500 0.500
Pa 0.666 0.334 0.000
Pa 0.829 0.171 0.500
As 0.080 0.402 0.241
As 0.239 0.239 0.753
As 0.402 0.080 0.241
As 0.598 0.920 0.759
As 0.761 0.761 0.247
As 0.920 0.598 0.759

[2]
Density functional theory data (PBE) for an optimized crystal structure of Ho4TlHg3.

Results
- excess energy over the best structure of this formula in the dataset (meV per atom) = 33
- SG = No. 25
- crystal system = orthorhombic

Cell lengths 3.807, 4.817, 11.619 Å; angles 90.00, 90.00, 90.00 degrees
Element x y z (fractional)
Ho 0.000 0.000 0.000
Ho 0.000 0.500 0.284
Ho 0.500 0.000 0.489
Ho 0.500 0.500 0.790
Tl 0.000 0.000 0.726
Hg 0.000 0.500 0.550
Hg 0.500 0.000 0.226
Hg 0.500 0.500 0.054

Computed values of calculated volume (unit: Å³/atom) for the preceding records, in sequence: 23.51; 26.64.
Computed values of magnetic moment (unit: μB per formula unit) for the preceding records, in sequence: 0.000; 0.000.